[1]
# SrAg2SnSe3S (PBE-GGA, relaxed)
# Calculated total energy: -3.94 eV/atom
data_SrAg2SnSe3S
_space_group_name_H-M_alt 'P 1'
_space_group_IT_number 1
_cell_length_a 6.547
_cell_length_b 6.566
_cell_length_c 6.579
_cell_angle_alpha 104.32
_cell_angle_beta 110.10
_cell_angle_gamma 113.84
loop_
_space_group_symop_operation_xyz
'x,y,z'
loop_
_atom_site_label
_atom_site_fract_x
_atom_site_fract_y
_atom_site_fract_z
Se1 0.401 0.393 0.377
S1 0.613 0.985 0.998
Se2 0.991 0.613 0.013
Sr1 0.995 0.495 0.497
Se3 0.006 0.021 0.620
Sn1 0.992 0.002 0.001
Ag1 0.500 0.690 0.177
Ag2 0.501 0.301 0.817


[2]
# TbAgSnSe2S (PBE-GGA, relaxed)
# Size of the total moment: 0.0 μB/f.u.
# Calculated total energy: -4.68 eV/atom
data_TbAgSnSe2S
_space_group_name_H-M_alt 'P 1'
_space_group_IT_number 1
_cell_length_a 7.070
_cell_length_b 7.070
_cell_length_c 10.378
_cell_angle_alpha 90.00
_cell_angle_beta 90.00
_cell_angle_gamma 145.99
loop_
_space_group_symop_operation_xyz
'x,y,z'
loop_
_atom_site_label
_atom_site_fract_x
_atom_site_fract_y
_atom_site_fract_z
Tb1 0.500 0.500 0.500
Sn1 0.241 0.759 0.250
Ag1 0.028 0.972 0.750
Se1 0.853 0.147 0.448
Ag2 0.972 0.028 0.250
Se2 0.853 0.147 0.052
Tb2 0.500 0.500 0.000
Se3 0.147 0.853 0.552
S1 0.413 0.587 0.750
Sn2 0.759 0.241 0.750
S2 0.587 0.413 0.250
Se4 0.147 0.853 0.948


[3]
# TmAgSnSe2S (PBE-GGA, relaxed)
# Size of the total moment: 0.0 μB/f.u.
# Calculated total energy: -4.64 eV/atom
data_TmAgSnSe2S
_space_group_name_H-M_alt 'P 1'
_space_group_IT_number 1
_cell_length_a 7.076
_cell_length_b 7.076
_cell_length_c 10.223
_cell_angle_alpha 90.00
_cell_angle_beta 90.00
_cell_angle_gamma 146.57
loop_
_space_group_symop_operation_xyz
'x,y,z'
loop_
_atom_site_label
_atom_site_fract_x
_atom_site_fract_y
_atom_site_fract_z
Se1 0.354 0.646 0.952
Tm1 0.000 0.000 0.500
Sn1 0.262 0.738 0.250
Ag1 0.470 0.530 0.750
S1 0.086 0.914 0.750
Se2 0.354 0.646 0.548
Ag2 0.530 0.470 0.250
Sn2 0.738 0.262 0.750
S2 0.914 0.086 0.250
Se3 0.646 0.354 0.452
Se4 0.646 0.354 0.048
Tm2 0.000 0.000 0.000


[4]
# YAgSnSeS2 (PBE-GGA, relaxed)
# Size of the total moment: 0.0 μB/f.u.
# Calculated total energy: -5.09 eV/atom
data_YAgSnSeS2
_space_group_name_H-M_alt 'P 1'
_space_group_IT_number 1
_cell_length_a 6.937
_cell_length_b 6.937
_cell_length_c 10.655
_cell_angle_alpha 90.00
_cell_angle_beta 90.00
_cell_angle_gamma 146.56
loop_
_space_group_symop_operation_xyz
'x,y,z'
loop_
_atom_site_label
_atom_site_fract_x
_atom_site_fract_y
_atom_site_fract_z
Ag1 0.539 0.461 0.750
S1 0.362 0.638 0.054
S2 0.362 0.638 0.446
Sn1 0.238 0.762 0.750
Ag2 0.461 0.539 0.250
Y1 0.000 0.000 0.500
Se1 0.099 0.901 0.250
Y2 0.000 0.000 0.000
Se2 0.901 0.099 0.750
S3 0.638 0.362 0.554
Sn2 0.762 0.238 0.250
S4 0.638 0.362 0.946


[5]
# SrTbAgSeS2 (PBE-GGA, relaxed)
# Size of the total moment: 0.0 μB/f.u.
# Calculated total energy: -5.03 eV/atom
data_SrTbAgSeS2
_space_group_name_H-M_alt 'P 1'
_space_group_IT_number 1
_cell_length_a 7.150
_cell_length_b 7.150
_cell_length_c 10.657
_cell_angle_alpha 90.00
_cell_angle_beta 90.00
_cell_angle_gamma 146.92
loop_
_space_group_symop_operation_xyz
'x,y,z'
loop_
_atom_site_label
_atom_site_fract_x
_atom_site_fract_y
_atom_site_fract_z
S1 0.133 0.867 0.939
Tb1 0.500 0.500 0.500
Sr1 0.733 0.267 0.750
Se1 0.402 0.598 0.750
Se2 0.598 0.402 0.250
S2 0.133 0.867 0.561
Tb2 0.500 0.500 0.000
Ag1 0.976 0.024 0.250
S3 0.867 0.133 0.439
S4 0.867 0.133 0.061
Sr2 0.267 0.733 0.250
Ag2 0.024 0.976 0.750


[6]
# SrTmAgSeS2 (PBE-GGA, relaxed)
# Size of the total moment: 0.0 μB/f.u.
# Calculated total energy: -4.99 eV/atom
data_SrTmAgSeS2
_space_group_name_H-M_alt 'P 1'
_space_group_IT_number 1
_cell_length_a 7.114
_cell_length_b 7.114
_cell_length_c 10.548
_cell_angle_alpha 90.00
_cell_angle_beta 90.00
_cell_angle_gamma 147.03
loop_
_space_group_symop_operation_xyz
'x,y,z'
loop_
_atom_site_label
_atom_site_fract_x
_atom_site_fract_y
_atom_site_fract_z
S1 0.632 0.368 0.443
S2 0.368 0.632 0.557
Sr1 0.767 0.233 0.750
S3 0.368 0.632 0.943
Sr2 0.233 0.767 0.250
Ag1 0.474 0.526 0.750
Ag2 0.526 0.474 0.250
Se1 0.097 0.903 0.750
Tm1 0.000 0.000 0.000
Se2 0.903 0.097 0.250
Tm2 0.000 0.000 0.500
S4 0.632 0.368 0.057


[7]
# SrTmAgSe2S (PBE-GGA, relaxed)
# Size of the total moment: 0.0 μB/f.u.
# Calculated total energy: -4.88 eV/atom
data_SrTmAgSe2S
_space_group_name_H-M_alt 'P 1'
_space_group_IT_number 1
_cell_length_a 7.153
_cell_length_b 7.153
_cell_length_c 10.355
_cell_angle_alpha 90.00
_cell_angle_beta 90.00
_cell_angle_gamma 146.35
loop_
_space_group_symop_operation_xyz
'x,y,z'
loop_
_atom_site_label
_atom_site_fract_x
_atom_site_fract_y
_atom_site_fract_z
Se1 0.643 0.357 0.950
Tm1 0.000 0.000 0.000
Se2 0.643 0.357 0.550
Ag1 0.473 0.527 0.250
Sr1 0.258 0.742 0.750
S1 0.082 0.918 0.250
S2 0.918 0.082 0.750
Se3 0.357 0.643 0.050
Sr2 0.742 0.258 0.250
Se4 0.357 0.643 0.450
Ag2 0.527 0.473 0.750
Tm2 0.000 0.000 0.500


[8]
# TaTlAgSe2S (PBE-GGA, relaxed)
# Size of the total moment: 0.3 μB/f.u.
# Calculated total energy: -5.08 eV/atom
data_TaTlAgSe2S
_space_group_name_H-M_alt 'P 1'
_space_group_IT_number 1
_cell_length_a 7.818
_cell_length_b 7.818
_cell_length_c 10.080
_cell_angle_alpha 90.00
_cell_angle_beta 90.00
_cell_angle_gamma 152.83
loop_
_space_group_symop_operation_xyz
'x,y,z'
loop_
_atom_site_label
_atom_site_fract_x
_atom_site_fract_y
_atom_site_fract_z
Ag1 0.442 0.558 0.750
Ag2 0.558 0.442 0.250
Se1 0.625 0.375 0.020
Ta1 0.000 0.000 0.500
Se2 0.625 0.375 0.480
Tl1 0.260 0.740 0.250
Se3 0.375 0.625 0.980
S1 0.058 0.942 0.750
Se4 0.375 0.625 0.520
S2 0.942 0.058 0.250
Ta2 0.000 0.000 0.000
Tl2 0.740 0.260 0.750